Ba2NaHf2 | PBE | relaxed

Cell lengths 5.0071, 5.0071, 15.8538 Å; angles 90.00, 90.00, 90.00 degrees
Last column: nearest neighbours and their distance in Å.
Positions (direct):
Ba (0.0000, 0.5000, 0.2500)  4 Ba 3.54, 4 Hf 3.68
Ba (0.0000, 0.5000, 0.7500)  4 Ba 3.54, 4 Hf 3.68
Ba (0.5000, 0.0000, 0.2500)  4 Ba 3.54, 4 Hf 3.68
Ba (0.5000, 0.0000, 0.7500)  4 Ba 3.54, 4 Hf 3.68
Na (0.0000, 0.0000, 0.0000)  8 Hf 3.76
Na (0.5000, 0.5000, 0.5000)  8 Hf 3.76
Hf (0.0000, 0.0000, 0.4204)  1 Hf 2.53
Hf (0.0000, 0.0000, 0.5796)  1 Hf 2.53
Hf (0.5000, 0.5000, 0.0796)  1 Hf 2.53
Hf (0.5000, 0.5000, 0.9204)  1 Hf 2.53

SG: I4/mmm (139)
Formation enthalpy at 0 K in eV/atom: 1.203
DOS(E_F) in states/eV per cell: 18.417
Total energy in eV/f.u.: -19.1
E above lowest polymorph in meV/atom: 459


BaNa2Hf | PBE | relaxed

Cell lengths 8.2483, 8.2483, 8.2483 Å; angles 90.00, 90.00, 90.00 degrees
Last column: nearest neighbours and their distance in Å.
Positions (direct):
Ba (0.0000, 0.0000, 0.0000)  8 Na 3.57
Ba (0.0000, 0.5000, 0.5000)  8 Na 3.57
Ba (0.5000, 0.0000, 0.5000)  8 Na 3.57
Ba (0.5000, 0.5000, 0.0000)  8 Na 3.57
Na (0.2500, 0.2500, 0.2500)  4 Hf 3.57, 4 Ba 3.57
Na (0.2500, 0.2500, 0.7500)  4 Hf 3.57, 4 Ba 3.57
Na (0.2500, 0.7500, 0.2500)  4 Hf 3.57, 4 Ba 3.57
Na (0.2500, 0.7500, 0.7500)  4 Hf 3.57, 4 Ba 3.57
Na (0.7500, 0.2500, 0.2500)  4 Hf 3.57, 4 Ba 3.57
Na (0.7500, 0.2500, 0.7500)  4 Hf 3.57, 4 Ba 3.57
Na (0.7500, 0.7500, 0.2500)  4 Hf 3.57, 4 Ba 3.57
Na (0.7500, 0.7500, 0.7500)  4 Hf 3.57, 4 Ba 3.57
Hf (0.0000, 0.0000, 0.5000)  8 Na 3.57
Hf (0.0000, 0.5000, 0.0000)  8 Na 3.57
Hf (0.5000, 0.0000, 0.0000)  8 Na 3.57
Hf (0.5000, 0.5000, 0.5000)  8 Na 3.57

SG: Fm-3m (225)
Formation enthalpy at 0 K in eV/atom: 0.783
DOS(E_F) in states/eV per cell: 25.405
Total energy in eV/f.u.: -11.4
E above lowest polymorph in meV/atom: 0


BaNa2Hf3O8 | PBE | relaxed

Cell lengths 7.0236, 7.0236, 7.0236 Å; angles 55.53, 55.53, 55.53 degrees
Last column: nearest neighbours and their distance in Å.
Positions (direct):
Ba (0.0000, 0.0000, 0.0000)  4 O 2.47-2.57
Na (0.3716, 0.3716, 0.3716)  6 O 2.49-2.51
Na (0.7630, 0.7630, 0.7630)  3 O 2.26
Hf (0.3724, 0.3724, 0.8676)  6 O 2.08-2.19
Hf (0.3724, 0.8676, 0.3724)  6 O 2.08-2.19
Hf (0.8676, 0.3724, 0.3724)  6 O 2.08-2.19
O (0.1220, 0.1220, 0.5526)  2 Hf 2.09
O (0.1220, 0.5526, 0.1220)  2 Hf 2.09
O (0.1444, 0.1444, 0.1444)  3 Hf 2.18
O (0.1814, 0.6248, 0.6248)  2 Hf 2.08, 1 Na 2.26
O (0.5526, 0.1220, 0.1220)  2 Hf 2.09
O (0.6010, 0.6010, 0.6010)  3 Hf 2.19
O (0.6248, 0.1814, 0.6248)  2 Hf 2.08, 1 Na 2.26
O (0.6248, 0.6248, 0.1814)  2 Hf 2.08, 1 Na 2.26

SG: R3m (160)
Uncorrected formation energy in eV/atom: -2.981
DOS(E_F) in states/eV per cell: 0.000
Total energy in eV/f.u.: -115.8


BaNaHf2Pt | PBE | relaxed

Cell lengths 5.1590, 5.1590, 6.3456 Å; angles 90.00, 90.00, 90.00 degrees
Last column: nearest neighbours and their distance in Å.
Positions (direct):
Ba (0.0000, 0.0000, 0.0000)  2 Pt 3.17
Na (0.5000, 0.5000, 0.0000)  4 Ba 3.65
Hf (0.0000, 0.5000, 0.5000)  2 Pt 2.58
Hf (0.5000, 0.0000, 0.5000)  2 Pt 2.58
Pt (0.0000, 0.0000, 0.5000)  4 Hf 2.58

SG: P4/mmm (123)
Formation enthalpy at 0 K in eV/atom: 0.258
DOS(E_F) in states/eV per cell: 7.596
Total energy in eV/f.u.: -27.9


BaNaHfRu2 | PBE | relaxed

Cell lengths 4.8970, 4.8970, 5.6084 Å; angles 90.00, 90.00, 90.00 degrees
Last column: nearest neighbours and their distance in Å.
Positions (direct):
Ba (0.0000, 0.0000, 0.0000)  4 Na 3.46, 8 Ru 3.72
Na (0.5000, 0.5000, 0.0000)  2 Hf 2.80
Hf (0.5000, 0.5000, 0.5000)  4 Ru 2.45
Ru (0.0000, 0.5000, 0.5000)  2 Hf 2.45
Ru (0.5000, 0.0000, 0.5000)  2 Hf 2.45

SG: P4/mmm (123)
Formation enthalpy at 0 K in eV/atom: 0.731
DOS(E_F) in states/eV per cell: 4.758
Total energy in eV/f.u.: -28.1


BaNa2HfS | PBE | relaxed

Cell lengths 5.9499, 5.9499, 5.5814 Å; angles 90.00, 90.00, 90.00 degrees
Last column: nearest neighbours and their distance in Å.
Positions (direct):
Ba (0.0000, 0.0000, 0.0000)  2 Hf 2.79, 4 Na 2.97
Na (0.0000, 0.5000, 0.0000)  2 Ba 2.97
Na (0.5000, 0.0000, 0.0000)  2 Ba 2.97
Hf (0.0000, 0.0000, 0.5000)  2 Ba 2.79
S (0.5000, 0.5000, 0.5000)  8 Na 4.08, 4 Hf 4.21

SG: P4/mmm (123)
Uncorrected formation energy in eV/atom: 1.462
DOS(E_F) in states/eV per cell: 6.573
Total energy in eV/f.u.: -11.3


BaNa2HfSe | PBE | relaxed

Cell lengths 6.0504, 6.0504, 5.0975 Å; angles 90.00, 90.00, 90.00 degrees
Last column: nearest neighbours and their distance in Å.
Positions (direct):
Ba (0.0000, 0.0000, 0.0000)  8 Na 3.96, 4 Se 4.28
Na (0.0000, 0.5000, 0.5000)  2 Hf 3.03
Na (0.5000, 0.0000, 0.5000)  2 Hf 3.03
Hf (0.5000, 0.5000, 0.5000)  2 Se 2.55
Se (0.5000, 0.5000, 0.0000)  2 Hf 2.55

SG: P4/mmm (123)
Uncorrected formation energy in eV/atom: 0.101
DOS(E_F) in states/eV per cell: 6.183
Total energy in eV/f.u.: -17.5


BaNaHfSn2 | PBE | relaxed

Cell lengths 5.5558, 5.5558, 5.8302 Å; angles 90.00, 90.00, 90.00 degrees
Last column: nearest neighbours and their distance in Å.
Positions (direct):
Ba (0.0000, 0.0000, 0.0000)  4 Na 3.93, 8 Sn 4.03
Na (0.5000, 0.5000, 0.0000)  2 Hf 2.92
Hf (0.5000, 0.5000, 0.5000)  4 Sn 2.78, 2 Na 2.92
Sn (0.0000, 0.5000, 0.5000)  2 Hf 2.78
Sn (0.5000, 0.0000, 0.5000)  2 Hf 2.78

SG: P4/mmm (123)
Formation enthalpy at 0 K in eV/atom: 0.020
DOS(E_F) in states/eV per cell: 3.004
Total energy in eV/f.u.: -21.1
E above lowest polymorph in meV/atom: 0